(1)
First-principles (GGA-PBE) data for crystalline LiTmRuRh at its relaxed geometry, as listed in Alexandria via LeMat-Bulk.

Structure (CIF):
```
data_LiTmRuRh
_cell_length_a 6.4061
_cell_length_b 6.4061
_cell_length_c 6.4061
_cell_angle_alpha 90.00
_cell_angle_beta 90.00
_cell_angle_gamma 90.00
_symmetry_space_group_name_H-M 'F -4 3 m'
_symmetry_Int_Tables_number 216
_symmetry_space_group_name_Hall 'F -4 2 3'
loop_
_atom_site_label
_atom_site_type_symbol
_atom_site_fract_x
_atom_site_fract_y
_atom_site_fract_z
Li1 Li 0.0000 0.0000 0.0000
Tm1 Tm 0.2500 0.2500 0.2500
Ru1 Ru 0.0000 0.0000 0.5000
Rh1 Rh 0.2500 0.2500 0.7500
```

Values from the calculation:
M_tot, μB/f.u.: 1.48
Uncorrected energy, eV for the cell shown: -94.106
ΔE_f, meV per atom: -128.5

(2)
First-principles (GGA-PBE) data for crystalline Na3Cd4Hg8 at its relaxed geometry, as listed in Alexandria via LeMat-Bulk.

Structure (CIF):
```
data_Na3Cd4Hg8
_cell_length_a 12.2935
_cell_length_b 11.7718
_cell_length_c 6.7673
_cell_angle_alpha 90.00
_cell_angle_beta 122.31
_cell_angle_gamma 90.00
_symmetry_space_group_name_H-M 'C 1 2/m 1'
_symmetry_Int_Tables_number 12
loop_
_symmetry_equiv_pos_as_xyz
'x,y,z'
'-x,-y,-z'
'-x,y,-z'
'x,-y,z'
'x+1/2,y+1/2,z'
'-x+1/2,-y+1/2,-z'
'-x+1/2,y+1/2,-z'
'x+1/2,-y+1/2,z'
loop_
_atom_site_label
_atom_site_type_symbol
_atom_site_fract_x
_atom_site_fract_y
_atom_site_fract_z
Na1 Na 0.0000 0.0000 0.0000
Na2 Na 0.2500 0.2500 0.5000
Cd1 Cd 0.0000 0.0000 0.5000
Cd2 Cd 0.0000 0.5000 0.0000
Cd3 Cd 0.2500 0.2500 0.0000
Hg1 Hg 0.0000 0.2535 0.0000
Hg2 Hg 0.0000 0.2691 0.5000
Hg3 Hg 0.1530 0.5000 0.5397
Hg4 Hg 0.2470 0.0000 0.9403
```

Values from the calculation:
M_tot, μB/f.u.: 0.00
Uncorrected energy, eV for the cell shown: -21.943
ΔE_f, meV per atom: -62.6

(3)
First-principles (GGA-PBE) data for crystalline LiGaSi at its relaxed geometry, as listed in Alexandria via LeMat-Bulk.

Structure (CIF):
```
data_LiGaSi
_cell_length_a 5.5099
_cell_length_b 6.3101
_cell_length_c 6.7866
_cell_angle_alpha 70.15
_cell_angle_beta 77.12
_cell_angle_gamma 74.73
_symmetry_space_group_name_H-M 'P 1'
_symmetry_Int_Tables_number 1
loop_
_symmetry_equiv_pos_as_xyz
'x,y,z'
loop_
_atom_site_label
_atom_site_type_symbol
_atom_site_fract_x
_atom_site_fract_y
_atom_site_fract_z
Li1 Li 0.0000 0.0000 0.0000
Li2 Li 0.1264 0.5298 0.8188
Li3 Li 0.3673 0.2656 0.5310
Li4 Li 0.5272 0.8300 0.3398
Ga1 Ga 0.0211 0.9981 0.5493
Ga2 Ga 0.4555 0.8091 0.7683
Ga3 Ga 0.7351 0.4207 0.6798
Ga4 Ga 0.7943 0.4423 0.2506
Si1 Si 0.0151 0.6785 0.4049
Si2 Si 0.2361 0.2231 0.1842
Si3 Si 0.3598 0.5668 0.1488
Si4 Si 0.5294 0.1000 0.9089
```

Values from the calculation:
M_tot, μB/f.u.: 0.00
ΔE_f (raw), kJ/mol of atoms: -6
Uncorrected energy, eV for the cell shown: -42.247